Entry 1:
# NdGa4Co9 (PBE, relaxed)
# Symmetry: I4/mcm, No. 140
# E in eV per atom: -6.004
data_NdGa4Co9
_cell_length_a 8.1346
_cell_length_b 8.1346
_cell_length_c 8.1346
_cell_angle_alpha 121.28
_cell_angle_beta 121.28
_cell_angle_gamma 87.79
_symmetry_space_group_name_H-M 'P 1'
_symmetry_Int_Tables_number 1
loop_
_symmetry_equiv_pos_as_xyz
'x,y,z'
loop_
_atom_site_label
_atom_site_type_symbol
_atom_site_fract_x
_atom_site_fract_y
_atom_site_fract_z
_atom_site_occupancy
Co1 Co 0.4388 0.6984 0.1372 1
Co2 Co 0.6984 0.5612 0.2595 1
Co3 Co 0.5612 0.3016 0.8628 1
Co4 Co 0.8016 0.0612 0.8628 1
Co5 Co 0.0612 0.1984 0.2595 1
Co6 Co 0.5000 0.0000 0.5000 1
Co7 Co 0.7879 0.2879 0.7268 1
Co8 Co 0.9388 0.8016 0.7405 1
Co9 Co 0.0000 0.5000 0.5000 1
Co10 Co 0.2121 0.7121 0.2732 1
Co11 Co 0.7121 0.4390 0.5000 1
Co12 Co 0.0610 0.7879 0.5000 1
Co13 Co 0.3016 0.4388 0.7405 1
Co14 Co 0.9390 0.2121 0.5000 1
Co15 Co 0.5610 0.0610 0.2732 1
Co16 Co 0.2879 0.5610 0.5000 1
Co17 Co 0.1984 0.9388 0.1372 1
Co18 Co 0.4390 0.9390 0.7268 1
Nd1 Nd 0.2500 0.2500 0.0000 1
Nd2 Nd 0.7500 0.7500 0.0000 1
Ga1 Ga 0.0539 0.5539 0.8600 1
Ga2 Ga 0.3061 0.8061 0.8600 1
Ga3 Ga 0.9461 0.4461 0.1400 1
Ga4 Ga 0.8061 0.9461 0.5000 1
Ga5 Ga 0.5539 0.6939 0.5000 1
Ga6 Ga 0.4461 0.3061 0.5000 1
Ga7 Ga 0.6939 0.1939 0.1400 1
Ga8 Ga 0.1939 0.0539 0.5000 1

=====

Entry 2:
# TlCu2Ag (PBE, relaxed)
# Relative energy among the computed polymorphs in eV per atom: 0.0428
# Symmetry: P4/mmm, No. 123
# E in eV per atom: -3.121
data_TlCu2Ag
_cell_length_a 4.3047
_cell_length_b 4.3035
_cell_length_c 3.6006
_cell_angle_alpha 90.00
_cell_angle_beta 90.00
_cell_angle_gamma 90.00
_symmetry_space_group_name_H-M 'P 1'
_symmetry_Int_Tables_number 1
loop_
_symmetry_equiv_pos_as_xyz
'x,y,z'
loop_
_atom_site_label
_atom_site_type_symbol
_atom_site_fract_x
_atom_site_fract_y
_atom_site_fract_z
_atom_site_occupancy
Ag1 Ag 0.0000 0.5000 0.5000 1
Cu1 Cu 0.0000 0.0000 0.0000 1
Cu2 Cu 0.5000 0.5000 0.0000 1
Tl1 Tl 0.5000 0.0000 0.5000 1

=====

Entry 3:
# CaAcCdAs (PBE, relaxed)
# Symmetry: F-43m, No. 216
# E in eV per atom: -3.493
data_CaAcCdAs
_cell_length_a 5.4790
_cell_length_b 5.4790
_cell_length_c 5.4790
_cell_angle_alpha 60.00
_cell_angle_beta 60.00
_cell_angle_gamma 60.00
_symmetry_space_group_name_H-M 'P 1'
_symmetry_Int_Tables_number 1
loop_
_symmetry_equiv_pos_as_xyz
'x,y,z'
loop_
_atom_site_label
_atom_site_type_symbol
_atom_site_fract_x
_atom_site_fract_y
_atom_site_fract_z
_atom_site_occupancy
As1 As 0.2500 0.2500 0.2500 1
Ac1 Ac 0.0000 0.0000 0.0000 1
Cd1 Cd 0.7500 0.7500 0.7500 1
Ca1 Ca 0.5000 0.5000 0.5000 1

=====

Entry 4:
# SrLaSe (PBE, relaxed)
# Relative energy among the computed polymorphs in eV per atom: 0.1169
# Formation energy from raw total energies in kJ/mol of formula units: -304
# Symmetry: I4mm, No. 107
# E in eV per atom: -4.416
data_SrLaSe
_cell_length_a 7.5030
_cell_length_b 7.5032
_cell_length_c 3.8021
_cell_angle_alpha 75.32
_cell_angle_beta 75.33
_cell_angle_gamma 29.35
_symmetry_space_group_name_H-M 'P 1'
_symmetry_Int_Tables_number 1
loop_
_symmetry_equiv_pos_as_xyz
'x,y,z'
loop_
_atom_site_label
_atom_site_type_symbol
_atom_site_fract_x
_atom_site_fract_y
_atom_site_fract_z
_atom_site_occupancy
Sr1 Sr 0.6983 0.6983 0.3017 1
La1 La 0.9601 0.9601 0.0399 1
Se1 Se 0.3416 0.3416 0.6584 1

=====

Entry 5:
# Cr3HAu (PBE, relaxed)
# Relative energy among the computed polymorphs in eV per atom: 1.5123
# Symmetry: Pm-3m, No. 221
# E in eV per atom: -5.389
data_Cr3HAu
_cell_length_a 5.0730
_cell_length_b 5.0730
_cell_length_c 5.0730
_cell_angle_alpha 90.00
_cell_angle_beta 90.00
_cell_angle_gamma 90.00
_symmetry_space_group_name_H-M 'P 1'
_symmetry_Int_Tables_number 1
loop_
_symmetry_equiv_pos_as_xyz
'x,y,z'
loop_
_atom_site_label
_atom_site_type_symbol
_atom_site_fract_x
_atom_site_fract_y
_atom_site_fract_z
_atom_site_occupancy
Cr1 Cr 0.0000 0.5000 0.0000 1
Cr2 Cr 0.0000 0.0000 0.5000 1
Cr3 Cr 0.5000 0.0000 0.0000 1
H1 H 0.5000 0.5000 0.5000 1
Au1 Au 0.0000 0.0000 0.0000 1

=====

Entry 6:
# Cr2Co2Mo (PBE, relaxed)
# Relative energy among the computed polymorphs in eV per atom: 0.0117
# Symmetry: P4/mbm, No. 127
# E in eV per atom: -8.712
data_Cr2Co2Mo
_cell_length_a 6.8968
_cell_length_b 6.8968
_cell_length_c 2.5315
_cell_angle_alpha 90.00
_cell_angle_beta 90.00
_cell_angle_gamma 90.00
_symmetry_space_group_name_H-M 'P 1'
_symmetry_Int_Tables_number 1
loop_
_symmetry_equiv_pos_as_xyz
'x,y,z'
loop_
_atom_site_label
_atom_site_type_symbol
_atom_site_fract_x
_atom_site_fract_y
_atom_site_fract_z
_atom_site_occupancy
Cr1 Cr 0.3801 0.8801 0.0000 1
Cr2 Cr 0.8801 0.6199 0.0000 1
Cr3 Cr 0.1199 0.3801 0.0000 1
Cr4 Cr 0.6199 0.1199 0.0000 1
Co1 Co 0.1751 0.6751 0.5000 1
Co2 Co 0.8249 0.3249 0.5000 1
Co3 Co 0.3249 0.1751 0.5000 1
Co4 Co 0.6751 0.8249 0.5000 1
Mo1 Mo 0.0000 0.0000 0.0000 1
Mo2 Mo 0.5000 0.5000 0.0000 1